Entry 1:
The following is a PBE-GGA calculation of a relaxed structure of Tl2GaBi, from the Alexandria database.

Output
The energy is -11.14 eV for the cell shown. The distance to the lowest polymorph of the same formula comes out at 0.471 eV per formula unit. Its formation energy is 0.13 eV/atom. As for the calculated volume: 30.06 Å³/atom.

Lattice parameters (Å, degrees): 3.4262 3.4262 11.9899 81.79 81.79 60.00
Positions (direct):
Tl: 0.0836 0.0836 0.7493
Tl: 0.9164 0.9164 0.2507
Bi: 0.5000 0.5000 0.5000
Ga: 0.0000 0.0000 0.0000

=====

Entry 2:
The following is a PBE-GGA calculation of a relaxed structure of LaTbPr6Y2, from the Alexandria database.

Output
The energy is -100.10 eV for the cell shown. Its formation energy is 0.11 eV/atom. As for the calculated volume: 35.47 Å³/atom.

Lattice parameters (Å, degrees): 9.7981 9.0587 9.0587 117.15 93.87 93.87
Positions (direct):
La: 0.2500 0.4062 0.5938
La: 0.7500 0.5938 0.4062
Tb: 0.2500 0.9668 0.0332
Tb: 0.7500 0.0332 0.9668
Pr: 0.0571 0.1086 0.7616
Pr: 0.4429 0.2384 0.8914
Pr: 0.9429 0.8914 0.2384
Pr: 0.5571 0.7616 0.1086
Pr: 0.3157 0.9844 0.4343
Pr: 0.1843 0.5657 0.0156
Pr: 0.6843 0.0156 0.5657
Pr: 0.8157 0.4343 0.9844
Pr: 0.1188 0.7041 0.4860
Pr: 0.3812 0.5140 0.2959
Pr: 0.8812 0.2959 0.5140
Pr: 0.6188 0.4860 0.7041
Y: 0.4517 0.8045 0.7105
Y: 0.0483 0.2895 0.1955
Y: 0.5483 0.1955 0.2895
Y: 0.9517 0.7105 0.8045

=====

Which value of calculated volume does entry 1 give? 30.06 Å³/atom